This record from the Alexandria database describes a relaxed structure of MnHPdNO. The functional is GGA+U.

Total energy = -6.163 eV/atom
Total magnetization = 0.7720 μB per atom
Crystal system = monoclinic

Lattice parameters (Å, degrees): 10.639 2.856 5.498 90.00 116.40 90.00
Space group Cm (No. 8)
Symmetry-distinct sites (fractional):
Mn 0.000 0.000 0.000 [2 per cell]
H 0.298 0.000 0.030 [2 per cell]
Pd 0.002 0.500 0.504 [2 per cell]
N 0.405 0.000 0.100 [2 per cell]
O 0.100 0.500 0.920 [2 per cell]